[1]
Entry from Alexandria: a geometry-optimized DySn8Ru2 structure (PBE).

Unit cell a=6.4415 b=6.4415 c=7.3766 alpha=90.00 beta=90.00 gamma=90.00
Space group P4/mmm (No. 123)
Unique sites:
Dy  0.0000  0.0000  0.0000 [1 per cell]
Sn  0.2562  0.2562  0.2860 [8 per cell]
Ru  0.0000  0.5000  0.5000 [2 per cell]

Computed properties:
The density of states at the Fermi level is 0.875 states/eV/atom. Its energy of formation is -0.003 eV/atom. Its final energy is -5.019 eV/atom. The total moment is 0.0 μB/f.u.


[2]
Entry from Alexandria: a geometry-optimized Na3AlMo structure (PBE).

Unit cell a=5.6471 b=5.6471 c=5.6471 alpha=90.00 beta=90.00 gamma=90.00
Space group Pm-3m (No. 221)
Unique sites:
Na  0.0000  0.0000  0.5000 [3 per cell]
Al  0.0000  0.0000  0.0000 [1 per cell]
Mo  0.5000  0.5000  0.5000 [1 per cell]

Computed properties:
The density of states at the Fermi level is 0.669 states/eV/atom. Its energy of formation is 1.312 eV/atom. Its final energy is -2.394 eV/atom. The total moment is 4.4 μB/f.u.


[3]
Entry from Alexandria: a geometry-optimized FeHgBr3 structure (PBE).

Unit cell a=6.9706 b=16.4185 c=5.7576 alpha=90.00 beta=90.00 gamma=90.00
Space group Cmc2_1 (No. 36)
Unique sites:
Fe  0.0000  0.2181  0.0000 [4 per cell]
Hg  0.0000  0.4972  0.7279 [4 per cell]
Br  0.0000  0.0911  0.8249 [4 per cell]
Br  0.2469  0.3126  0.8172 [8 per cell]

Computed properties:
The density of states at the Fermi level is 0.481 states/eV/atom. The value obtained for the formation energy without anion corrections is -0.30 eV/atom. Its final energy is -3.061 eV/atom. The total moment is 4.7 μB/f.u.


[4]
Entry from Alexandria: a geometry-optimized Ti5Ni2Pt2 structure (PBE).

Unit cell a=14.5580 b=6.0376 c=6.4121 alpha=90.00 beta=90.00 gamma=90.00
Space group Cmce (No. 64)
Unique sites:
Ti  0.0000  0.0000  0.0000 [4 per cell]
Ti  0.1310  0.1798  0.3175 [16 per cell]
Ni  0.0000  0.1264  0.6374 [8 per cell]
Pt  0.2183  0.0000  0.0000 [8 per cell]

Computed properties:
The density of states at the Fermi level is 0.876 states/eV/atom. Its energy of formation is -0.541 eV/atom. Its final energy is -7.554 eV/atom. The total moment is 0.0 μB/f.u.